#a
Density functional theory data (PBE) for a geometry-optimized TiBe3Al structure.

Cell: 4.3711 4.3711 4.3711 Å, 90.00 90.00 90.00°
With the nearest neighbours (Å) after each atom.
Sites, in units of the cell vectors:
Ti  0.0000  0.0000  0.0000  6 Be 2.19
Be  0.0000  0.0000  0.5000  2 Ti 2.19
Be  0.0000  0.5000  0.0000  2 Ti 2.19
Be  0.5000  0.0000  0.0000  2 Ti 2.19
Al  0.5000  0.5000  0.5000  12 Be 3.09

Results
Its space group is No. 221.

#b
Density functional theory data (PBE) for a geometry-optimized TiBe3Al structure.

Cell: 4.1183 4.1183 4.1183 Å, 90.00 90.00 90.00°
With the nearest neighbours (Å) after each atom.
Sites, in units of the cell vectors:
Be  0.5000  0.0000  0.0000  2 Al 2.06
Be  0.0000  0.5000  0.0000  2 Al 2.06
Be  0.0000  0.0000  0.5000  2 Al 2.06
Ti  0.5000  0.5000  0.5000  12 Be 2.91
Al  0.0000  0.0000  0.0000  6 Be 2.06

Results
Its space group is No. 221.

Most stable pick: #b. Distance to second place: 628 meV/atom.

#a
Density functional theory data (PBE) for a geometry-optimized TiBeAl3 structure.

Cell: 4.9347 4.9347 4.9347 Å, 90.00 90.00 90.00°
With the nearest neighbours (Å) after each atom.
Sites, in units of the cell vectors:
Be  0.5000  0.5000  0.5000  12 Al 3.49
Al  0.5000  0.0000  0.0000  2 Ti 2.47
Al  0.0000  0.5000  0.0000  2 Ti 2.47
Al  0.0000  0.0000  0.5000  2 Ti 2.47
Ti  0.0000  0.0000  0.0000  6 Al 2.47

Results
Its space group is No. 221.

#b
Density functional theory data (PBE) for a geometry-optimized TiBeAl3 structure.

Cell: 4.3207 4.3207 4.3207 Å, 90.00 90.00 90.00°
With the nearest neighbours (Å) after each atom.
Sites, in units of the cell vectors:
Al  0.0000  0.5000  0.0000  2 Be 2.16
Al  0.0000  0.0000  0.5000  2 Be 2.16
Al  0.5000  0.0000  0.0000  2 Be 2.16
Ti  0.5000  0.5000  0.5000  12 Al 3.06
Be  0.0000  0.0000  0.0000  6 Al 2.16

Results
Its space group is No. 221.

Most stable pick: #b. Distance to second place: 835 meV/atom.